## Hg3SeBr3 (PBE-GGA)

Data for a relaxed Hg3SeBr3 crystal.

As for the formation energy (no corrections): -272 meV per atom. The value obtained for the theoretical density is 6.12 g/cm³. The spin magnetization comes out at 0.0 Bohr magnetons per cell.

The structure belongs to space group P2_1/m (No. 11); the cell edges are 8.751, 7.052 and 9.036 Å and the angles 90.00°, 116.35° and 90.00°. The distinct sites, in fractional coordinates, are Hg at (0.087, 0.250, 0.189), Hg at (0.269, 0.250, 0.835), Hg at (0.386, 0.750, 0.547), Se at (0.356, 0.250, 0.154), Br at (0.100, 0.750, 0.269), Br at (0.198, 0.750, 0.806) and Br at (0.341, 0.250, 0.581).

## SmEr2Tm (PBE-GGA)

Data for a relaxed SmEr2Tm crystal.

The calculation puts the energy of formation from the pure elements at 0.138 eV per atom. The value obtained for the theoretical density is 8.59 g/cm³. The spin magnetization comes out at 0.0 Bohr magnetons per cell. The calculation puts the excess energy over the best structure of this formula in the dataset at 130.3 meV/atom.

The structure belongs to space group Fm-3m (No. 225); the cell edges are 7.966, 7.966 and 7.966 Å and the angles 90.00°, 90.00° and 90.00°. The distinct sites, in fractional coordinates, are Sm at (0.000, 0.000, 0.000), Er at (0.250, 0.250, 0.250) and Tm at (0.000, 0.000, 0.500).

Number 1: final energy -1.616 eV per atom. Number 2: final energy -4.441 eV per atom.